Compound: BaUI6
Source: Alexandria
Functional: GGA-PBE
Structure: optimized geometry

POSCAR file:
```
BaUI6
1.0
4.2412 -7.2833 0.0000
4.2412 7.2833 0.0000
-3.3366 0.0000 15.0714
Ba U I
2 2 12
Cartesian
2.5729 6.1201 7.5357
4.2412 -6.1201 0.0000
2.5727 1.2487 7.5829
4.2410 -1.2487 0.0472
0.1244 1.2547 5.7885
1.3909 3.3977 9.3562
-1.5439 -1.2547 13.3241
2.9581 0.8561 1.7978
3.8048 3.3663 5.8009
1.2899 -0.8561 9.3335
2.1338 0.8859 13.3643
3.0592 -3.3977 1.8205
3.8021 -0.8859 5.8286
5.0248 1.1945 9.3723
2.1365 -3.3663 13.3365
6.6931 -1.1945 1.8367
```

Summary:
Distance to the lowest polymorph of the same formula   0.0 meV per atom
Space group   Cc (9)
DOS at the Fermi energy   1.373 states/eV per atom

***

Compound: BaUI6
Source: Alexandria
Functional: GGA-PBE
Structure: optimized geometry

POSCAR file:
```
BaUI6
1.0
7.9969 0.0000 0.0000
-3.9916 6.9329 0.0000
-3.9931 -2.3061 7.3580
Ba U I
1 1 6
Cartesian
0.0000 0.0000 0.0000
-3.9923 2.3134 3.6790
-1.5214 2.4811 1.9491
-2.6106 0.2538 5.4088
-2.8974 4.5350 5.4076
2.9095 0.0918 1.9504
2.6227 4.3730 1.9491
1.5336 2.1457 5.4088
```

Summary:
Distance to the lowest polymorph of the same formula   29.4 meV per atom
Space group   P-1 (2)
DOS at the Fermi energy   0.785 states/eV per atom

***

Compound: BaUI6
Source: Alexandria
Functional: GGA-PBE
Structure: optimized geometry

POSCAR file:
```
BaUI6
1.0
6.5721 -4.9067 0.0000
6.5721 4.9067 0.0000
-0.3019 0.0000 12.1245
Ba U I
2 2 12
Cartesian
6.3456 4.7339 9.0934
6.4966 -4.7339 3.0311
3.2860 2.4534 0.0000
3.1351 -2.4534 6.0622
1.9917 0.4005 6.0618
4.4608 2.0851 2.7330
1.8407 -0.4005 12.1240
5.5774 1.6434 10.8827
7.1139 1.6434 7.3040
8.5324 2.0851 3.3292
4.3099 -2.0851 8.7953
5.7284 -1.6434 4.8205
7.2648 -1.6434 1.2417
11.0015 0.4005 0.0005
8.3814 -2.0851 9.3914
10.8505 -0.4005 6.0627
```

Summary:
Distance to the lowest polymorph of the same formula   3.4 meV per atom
Space group   C2/c (15)
DOS at the Fermi energy   0.650 states/eV per atom

***

Compound: Ba2VI
Source: Alexandria
Functional: GGA-PBE
Structure: optimized geometry

POSCAR file:
```
Ba2VI
1.0
-4.5722 4.5722 4.6032
4.5722 -4.5722 4.6032
4.5722 4.5722 -4.6032
Ba V I
4 2 2
Cartesian
6.8582 2.2053 -1.1508
2.2053 2.2861 1.1508
-2.2861 2.3669 3.4524
2.3669 2.2861 5.7539
0.0000 0.0000 0.0000
0.0000 4.5722 2.3016
4.5722 0.0000 2.3016
0.0000 0.0000 4.6032
```

Summary:
Distance to the lowest polymorph of the same formula   91.4 meV per atom
Space group   I-42d (122)
DOS at the Fermi energy   1.426 states/eV per atom

***

Compound: BaVI2
Source: Alexandria
Functional: GGA-PBE
Structure: optimized geometry

POSCAR file:
```
BaVI2
1.0
-3.1301 3.1301 8.7826
3.1301 -3.1301 8.7826
3.1301 3.1301 -8.7826
Ba V I
2 2 4
Cartesian
0.0000 0.0000 0.0000
0.0000 3.1301 4.3913
3.1301 0.0000 4.3913
0.0000 0.0000 8.7826
1.5651 -1.0975 6.5869
2.0326 1.5651 2.1956
1.5651 4.2277 -2.1956
1.0975 1.5651 10.9782
```

Summary:
Distance to the lowest polymorph of the same formula   0.0 meV per atom
Space group   I-42d (122)
DOS at the Fermi energy   0.665 states/eV per atom

***

Compound: Ba2VI
Source: Alexandria
Functional: GGA-PBE
Structure: optimized geometry

POSCAR file:
```
Ba2VI
1.0
0.0000 4.3054 4.3054
4.3054 0.0000 4.3054
4.3054 4.3054 0.0000
Ba V I
2 1 1
Cartesian
2.1527 2.1527 2.1527
6.4581 6.4581 6.4581
0.0000 0.0000 0.0000
4.3054 4.3054 4.3054
```

Summary:
Distance to the lowest polymorph of the same formula   0.0 meV per atom
Space group   Fm-3m (225)
DOS at the Fermi energy   0.944 states/eV per atom

***

Compound: BaV3I
Source: Alexandria
Functional: GGA-PBE
Structure: optimized geometry

POSCAR file:
```
BaV3I
1.0
5.1064 0.0000 0.0000
0.0000 5.1064 0.0000
0.0000 0.0000 5.1064
Ba V I
1 3 1
Cartesian
0.0000 0.0000 0.0000
0.0000 2.5532 2.5532
2.5532 0.0000 2.5532
2.5532 2.5532 0.0000
2.5532 2.5532 2.5532
```

Summary:
Distance to the lowest polymorph of the same formula   0.0 meV per atom
Space group   Pm-3m (221)
DOS at the Fermi energy   2.169 states/eV per atom

***

Compound: BaVI2
Source: Alexandria
Functional: GGA-PBE
Structure: optimized geometry

POSCAR file:
```
BaVI2
1.0
0.0000 4.1262 4.1262
4.1262 0.0000 4.1262
4.1262 4.1262 0.0000
Ba V I
1 1 2
Cartesian
0.0000 0.0000 0.0000
4.1262 4.1262 4.1262
2.0631 2.0631 2.0631
6.1893 6.1893 6.1893
```

Summary:
Distance to the lowest polymorph of the same formula   30.7 meV per atom
Space group   Fm-3m (225)
DOS at the Fermi energy   1.923 states/eV per atom

***

Among the records above, which one has the highest distance to the lowest polymorph of the same formula?
number 4

***

What is the formula in the second record?
BaUI6

***

The highest DOS at the Fermi energy belongs to which entry?
BaV3I